The following is a PBE with a Hubbard U calculation of a geometry-optimized Tm2ThMoO8 structure, from Alexandria via LeMat-Bulk.

a = 5.012 Å, b = 6.853 Å, c = 5.014 Å
α = 90.00°, β = 90.43°, γ = 90.00°
Fractional coordinates of all 12 atoms:
Tm 0.000 0.244 0.000
Tm 0.000 0.756 0.000
Th 0.500 0.500 0.500
Mo 0.500 0.000 0.500
O 0.188 0.500 0.186
O 0.225 0.000 0.223
O 0.313 0.212 0.685
O 0.313 0.788 0.685
O 0.687 0.212 0.315
O 0.687 0.788 0.315
O 0.775 0.000 0.777
O 0.812 0.500 0.814

Spin magnetization (Bohr magnetons per cell): 0.00
DFT total energy (eV/atom): -8.23
Symmetry: P2/m, No. 10